The following is a meta-GGA SCAN calculation of a crystal of BaSb3Br relaxed with PBEsol, from Alexandria via LeMat-Bulk.

The total energy is -34.011 eV/atom. The energy relative to the elements, uncorrected is 0.148 eV per atom.

It has space group Pm-3m (No. 221), with a = 5.570 Å, b = 5.570 Å, c = 5.570 Å, α = 90.00°, β = 90.00° and γ = 90.00°. The inequivalent atoms are Ba at (0.000, 0.000, 0.000), Sb at (0.000, 0.500, 0.500) and Br at (0.500, 0.500, 0.500).